CaMoW2 | GGA-PBE | relaxed

Geometry as POSCAR:
```
CaMoW2
1.0
-2.8036 1.1450 0.9729
-0.9796 0.1687 -3.0215
-2.7449 -7.1384 0.4913
Ca W Mo
1 2 1
Direct
0.0000 0.0000 0.4996 Ca
0.5000 0.5000 0.1961 W
0.0000 0.0000 0.9996 W
0.5000 0.5000 0.8048 Mo
```

Magnetization ... 0.0000 μB per atom
Energy relative to the lowest polymorph listed for this composition ... 102.2 meV per atom
D(E_F) ... 1.36 states/eV/atom
Symmetry ... P4mm, No. 99
Energy of formation ... 2.5 eV/f.u.

Ho2Cd15Ag2 | GGA-PBE | relaxed

Geometry as POSCAR:
```
Ho2Cd15Ag2
1.0
-1.9010 -2.1513 7.0381
-5.0628 -5.3697 -1.8198
4.5619 -6.0531 0.5710
Cd Ho Ag
15 2 2
Direct
0.5000 0.0000 0.0000 Cd
0.3621 0.8427 0.3621 Cd
0.6379 0.6379 0.1573 Cd
0.7035 0.0000 0.2965 Cd
0.0000 0.7035 0.2965 Cd
0.0000 0.2965 0.7035 Cd
0.6379 0.1573 0.6379 Cd
0.2965 0.7035 0.0000 Cd
0.1573 0.6379 0.6379 Cd
0.8427 0.3621 0.3621 Cd
0.0000 0.0000 0.5000 Cd
0.7035 0.2965 0.0000 Cd
0.2965 0.0000 0.7035 Cd
0.0000 0.5000 0.0000 Cd
0.3621 0.3621 0.8427 Cd
0.6717 0.6717 0.6717 Ho
0.3283 0.3283 0.3283 Ho
0.1054 0.1054 0.1054 Ag
0.8946 0.8946 0.8946 Ag
```

Magnetization ... 0.0000 μB per atom
D(E_F) ... 0.35 states/eV/atom
Symmetry ... R-3m, No. 166
Energy of formation ... -1.5 eV/f.u.

BTe2AsI | GGA-PBE | relaxed

Geometry as POSCAR:
```
BTe2AsI
1.0
5.5109 0.0000 0.0000
0.0000 5.5109 0.0000
0.0000 0.0000 5.5923
Te As I B
2 1 1 1
Direct
0.5000 0.0000 0.0000 Te
0.0000 0.5000 0.0000 Te
0.0000 0.0000 0.0000 As
0.0000 0.0000 0.5000 I
0.5000 0.5000 0.5000 B
```

Magnetization ... 0.0000 μB per atom
Energy relative to the lowest polymorph listed for this composition ... 417.3 meV per atom
D(E_F) ... 1.28 states/eV/atom
ΔE_f (raw) ... 1310 meV/atom
Symmetry ... P4/mmm, No. 123

YHg2RhCl | GGA-PBE | relaxed

Geometry as POSCAR:
```
YHg2RhCl
1.0
-4.9661 2.4442 -0.3703
-1.6299 -2.8846 2.8188
1.3383 3.3567 4.2089
Y Cl Hg Rh
1 1 2 1
Direct
0.5000 0.5000 0.5000 Y
0.0000 0.0000 0.0000 Cl
0.0000 0.0000 0.5000 Hg
0.5000 0.0000 0.0000 Hg
0.0000 0.5000 0.0000 Rh
```

Magnetization ... 0.0000 μB per atom
D(E_F) ... 1.16 states/eV/atom
ΔE_f (raw) ... 323 meV/atom
Symmetry ... P4/mmm, No. 123

Mn2GaNi | GGA-PBE | relaxed

Geometry as POSCAR:
```
Mn2GaNi
1.0
3.6351 0.0000 0.0000
0.0000 3.7754 0.0000
0.0000 0.0000 3.7754
Ga Mn Ni
1 2 1
Direct
0.5000 0.0000 0.0000 Ga
0.0000 0.5000 0.0000 Mn
0.0000 0.0000 0.5000 Mn
0.5000 0.5000 0.5000 Ni
```

Magnetization ... 1.7074 μB per atom
D(E_F) ... 0.99 states/eV/atom
Symmetry ... P4/mmm, No. 123
Energy of formation ... -0.4 eV/f.u.

La2YNb | GGA-PBE | relaxed

Geometry as POSCAR:
```
La2YNb
1.0
-6.4531 -5.5007 -2.2799
-1.6969 -1.5238 8.4792
-6.1842 -1.0465 3.1206
Y La Nb
2 4 2
Direct
0.5000 0.5000 0.0000 Y
0.2500 0.7500 0.5000 Y
0.8750 0.9363 0.7500 La
0.3750 0.3137 0.7500 La
0.0637 0.6250 0.2500 La
0.6863 0.1250 0.2500 La
0.7500 0.2500 0.5000 Nb
0.0000 0.0000 0.0000 Nb
```

Magnetization ... 0.2897 μB per atom
Energy relative to the lowest polymorph listed for this composition ... 247.7 meV per atom
D(E_F) ... 1.23 states/eV/atom
Symmetry ... I-42d, No. 122
Energy of formation ... 2.4 eV/f.u.